First-principles (GGA+U) data for a relaxed TmTaMoO6 crystal, as listed in Alexandria via LeMat-Bulk.

Results
The total energy comes out at -8.51 eV per atom. As for the total magnetization: 4.00 μB/cell.

Cell and atoms, written as CIF:
```
data_TmTaMoO6
_chemical_formula_sum 'Tm2 Ta2 Mo2 O12'
_space_group_name_H-M_alt 'P -3 1 c'
_space_group_IT_number 163
_space_group_name_Hall '-P 3 2c'
_cell_length_a 5.3843
_cell_length_b 5.3843
_cell_length_c 8.9809
_cell_angle_alpha 90.00
_cell_angle_beta 90.00
_cell_angle_gamma 120.00
loop_
_atom_site_label
_atom_site_type_symbol
_atom_site_fract_x
_atom_site_fract_y
_atom_site_fract_z
Tm1 Tm 0.3333 0.6667 0.2500
Ta1 Ta 0.3333 0.6667 0.7500
Mo1 Mo 0.0000 0.0000 0.0000
O1 O 0.0336 0.3428 0.6282
```

=====

First-principles (GGA+U) data for a relaxed YTaMoO6 crystal, as listed in Alexandria via LeMat-Bulk.

Results
The total energy comes out at -8.69 eV per atom. As for the total magnetization: 4.00 μB/cell.

Cell and atoms, written as CIF:
```
data_YTaMoO6
_chemical_formula_sum 'Y2 Ta2 Mo2 O12'
_space_group_name_H-M_alt 'P -3 1 c'
_space_group_IT_number 163
_space_group_name_Hall '-P 3 2c'
_cell_length_a 5.4336
_cell_length_b 5.4336
_cell_length_c 8.9699
_cell_angle_alpha 90.00
_cell_angle_beta 90.00
_cell_angle_gamma 120.00
loop_
_atom_site_label
_atom_site_type_symbol
_atom_site_fract_x
_atom_site_fract_y
_atom_site_fract_z
Y1 Y 0.3333 0.6667 0.2500
Ta1 Ta 0.3333 0.6667 0.7500
Mo1 Mo 0.0000 0.0000 0.0000
O1 O 0.0404 0.3438 0.6273
```

=====

What is the total magnetization in the second record? 4.00 μB/cell